# 1
# Li17Co4O16

An optimized crystal structure of Li17Co4O16 (PBE with a Hubbard U, the Alexandria database).

Cell: 7.2703 6.6466 7.7658 Å, 90.00 90.34 90.00°
Last column: nearest neighbours and their distance in Å.
Space group Pm (No. 6)
Inequivalent atoms, fractional coordinates:
Li 0.0000 0.0000 0.0000  3 O 1.89-2.03
Li 0.0115 0.5000 0.4426  4 O 2.02-2.19
Li 0.2449 0.2016 0.6202  3 O 2.04-2.08
Li 0.2495 0.2345 0.2664  4 O 1.93-2.12
Li 0.2996 0.2369 0.9516  4 O 1.89-2.02
Li 0.4464 0.5000 0.6201  4 O 1.95-2.01
Li 0.5428 0.5000 0.9259  4 O 1.92-2.15
Li 0.5914 0.0000 0.1299  4 O 1.96-2.07
Li 0.7218 0.2375 0.4484  4 O 1.90-2.01
Li 0.8063 0.2932 0.1216  3 O 1.98-2.17
Li 0.8103 0.2608 0.7630  4 O 1.96-2.11
Co 0.0609 0.5000 0.9584  4 O 1.87-1.90
Co 0.5063 0.5000 0.2552  4 O 1.80-1.81
Co 0.5449 0.0000 0.7514  4 O 1.79-1.84
Co 0.9915 0.0000 0.4367  4 O 1.77-1.80
O 0.0733 0.2569 0.0797  1 Co 1.87, 4 Li 1.89-1.98
O 0.2345 0.0000 0.4184  1 Co 1.77, 2 Li 1.96
O 0.2778 0.5000 0.8242  1 Co 1.90, 4 Li 2.01-2.08
O 0.3055 0.0000 0.8175  1 Co 1.82, 2 Li 1.89
O 0.3093 0.5000 0.3974  1 Co 1.81, 1 Li 1.99
O 0.4926 0.2782 0.1224  1 Co 1.80, 2 Li 1.94-1.98
O 0.5624 0.2362 0.6410  1 Co 1.79, 2 Li 1.90-1.95
O 0.7397 0.0000 0.9031  1 Co 1.84, 1 Li 2.03
O 0.7427 0.5000 0.3296  1 Co 1.81, 2 Li 1.98
O 0.7847 0.0000 0.3075  1 Co 1.80, 3 Li 1.96-1.98
O 0.8069 0.5000 0.9116  1 Co 1.88, 3 Li 1.92-1.96
O 0.9737 0.2282 0.5547  1 Co 1.78

Computed properties:
- Energy relative to the lowest polymorph listed for this composition: 11 meV/atom

***

# 2
# Li4Co3O7

An optimized crystal structure of Li4Co3O7 (PBE with a Hubbard U, the Alexandria database).

Cell: 2.9143 5.0238 16.5251 Å, 88.71 87.39 88.74°
Last column: nearest neighbours and their distance in Å.
Space group P-1 (No. 2)
Inequivalent atoms, fractional coordinates:
Li 0.0000 0.0000 0.0000  6 O 2.06-2.13
Li 0.0424 0.3537 0.8569  5 O 2.00-2.11
Li 0.2071 0.0750 0.5709  6 O 2.08-2.32
Li 0.3806 0.7832 0.2853  6 O 2.08-2.16
Li 0.5000 0.5000 0.0000  6 O 2.12-2.21
Co 0.1231 0.7187 0.7148  6 O 1.92-1.96
Co 0.3051 0.4305 0.4274  4 O 1.89-1.94
Co 0.4432 0.1335 0.1383  3 O 1.74-1.95
O 0.0018 0.3141 0.0781  2 Co 1.87-2.08, 2 Li 2.00-2.06
O 0.1214 0.4153 0.6439  2 Co 1.89-1.94, 2 Li 2.09-2.12
O 0.1241 0.0156 0.7856  2 Co 1.92-1.95, 3 Li 2.08-2.14
O 0.2720 0.7289 0.5004  2 Co 1.91-1.94, 3 Li 2.08-2.12
O 0.3643 0.1404 0.3525  3 Co 1.93-1.96, 2 Li 2.09-2.13
O 0.3897 0.4184 0.2185  3 Co 1.94-1.97, 2 Li 2.11-2.16
O 0.4724 0.8479 0.0801  1 Co 1.74

Computed properties:
- Energy relative to the lowest polymorph listed for this composition: 53 meV/atom